No. 1
Computed, not measured: crystalline InNi4Os at its relaxed geometry at the PBE-GGA level of DFT.

a = 6.764 Å, b = 6.764 Å, c = 6.764 Å
α = 90.00°, β = 90.00°, γ = 90.00°
Space group F-43m (No. 216)
Symmetry-distinct sites (fractional):
In1 0.000 0.000 0.000
Ni1 0.124 0.124 0.624
Os1 0.250 0.250 0.250

Calculated values
- calculated volume (Å³/atom) = 12.90
- energy (eV/atom) = -5.992

***

No. 2
Computed, not measured: crystalline TmZn3Cu at its relaxed geometry at the PBE-GGA level of DFT.

a = 5.609 Å, b = 11.060 Å, c = 5.594 Å
α = 90.00°, β = 90.00°, γ = 90.00°
Space group Cmcm (No. 63)
Symmetry-distinct sites (fractional):
Tm1 0.000 0.249 0.250
Zn1 0.000 0.140 0.750
Zn2 0.241 0.500 0.000
Cu1 0.000 0.356 0.750

Calculated values
- calculated volume (Å³/atom) = 17.35
- energy (eV/atom) = -2.735

***

No. 3
Computed, not measured: crystalline BaThN at its relaxed geometry at the PBE-GGA level of DFT.

a = 14.301 Å, b = 3.663 Å, c = 6.319 Å
α = 90.00°, β = 90.00°, γ = 90.00°
Space group Amm2 (No. 38)
Symmetry-distinct sites (fractional):
Ba1 0.113 0.000 0.000
Th1 0.389 0.000 0.444
N1 0.000 0.000 0.334
N2 0.500 0.000 0.111

Calculated values
- raw formation energy (eV per atom) = -0.2120
- calculated volume (Å³/atom) = 27.58